*i*
PBE CsH2Pd2, relaxed; total magnetic moment = 0.000 μB per cell; symmetry = I4/mmm (139)
1.0
-3.2431 -1.8935 0.9949
0.4479 -2.3681 -3.0470
1.8827 -5.9402 2.4167
Cs H Pd
1 2 2
Cartesian
0.0000 0.0000 0.0000
-1.3790 -4.9822 1.1928
0.4665 -5.2195 -0.8281
0.1716 -3.9531 0.6209
-1.0841 -6.2486 -0.2562

***

*ii*
PBE CsH2Pd2, relaxed; total magnetic moment = 0.000 μB per cell; symmetry = I4_1/amd (141)
1.0
-4.4486 -4.1176 0.0434
4.1044 -4.4389 -0.4436
0.4281 4.0506 4.8470
Cs H Pd
2 4 4
Cartesian
0.0000 0.0000 0.0000
2.1802 -2.3333 2.1017
-0.0662 -4.3725 1.7222
-2.2022 -2.0785 0.4228
0.1501 -0.1335 2.7246
-1.9904 -2.2668 4.2675
1.3042 0.8587 3.4743
-1.1342 -3.2255 1.0725
0.9180 -5.4449 0.8507
-0.9201 -1.2001 3.4960

***

*i* takes first place; second place is 7.6 kJ/mol of atoms up.